HIrI2O | GGA-PBE | optimized geometry

As for the relative energy among the computed polymorphs: 0.00 kJ/mol of atoms.

The structure belongs to space group P4/mmm (No. 123); the cell edges are 5.633, 5.633 and 3.723 Å and the angles 90.00°, 90.00° and 90.00°. The distinct sites, in fractional coordinates, are H at (0.000, 0.000, 0.000), Ir at (0.500, 0.500, 0.500), I at (0.000, 0.500, 0.500) and O at (0.500, 0.500, 0.000).